VASP calculation (PBE) on an optimized crystal structure of Sm2ErTh3Bi6.

Results
Energy relative to the elements, kJ/mol of formula units: -842
Total magnetization, μB per atom: 0.0000
E_tot, eV per atom: -5.690

Unit cell a=19.876 b=4.566 c=9.099 alpha=90.00 beta=103.08 gamma=90.00
Space group C2/m (No. 12)
Inequivalent atoms, fractional coordinates:
Sm: 0.167 0.000 0.333 (multiplicity 4)
Er: 0.000 0.500 0.000 (multiplicity 2)
Th: 0.000 0.500 0.500 (multiplicity 2)
Th: 0.168 0.000 0.834 (multiplicity 4)
Bi: 0.000 0.000 0.242 (multiplicity 4)
Bi: 0.163 0.500 0.084 (multiplicity 4)
Bi: 0.167 0.500 0.581 (multiplicity 4)